# 1
## RbNb2S4 (GGA-PBE)

Data for crystalline RbNb2S4 at its relaxed geometry.

Computed properties:
**Crystal system**: trigonal
**Offset from the most stable computed form**: 0.000 eV per atom
**Total DFT energy (no corrections)**: -6.4485 eV per atom
**Energy relative to the elements, uncorrected**: -1.075 eV/atom
**N(E_F)**: 3.97 states/eV/cell
**Space group**: No. 164

a = 3.4507 Å, b = 3.4507 Å, c = 14.5498 Å
α = 90.00°, β = 90.00°, γ = 120.00°
Element x y z (fractional)
1 Rb 0.0000 0.0000 0.5000
2 Nb 0.0000 0.0000 0.7816
3 Nb 0.0000 0.0000 0.2184
4 S 0.6667 0.3333 0.6739
5 S 0.3333 0.6667 0.3261
6 S 0.3333 0.6667 0.1155
7 S 0.6667 0.3333 0.8845

***

# 2
## RbNbS3 (GGA-PBE)

Data for crystalline RbNbS3 at its relaxed geometry.

Computed properties:
**Crystal system**: monoclinic
**Offset from the most stable computed form**: 0.119 eV per atom
**Total DFT energy (no corrections)**: -5.6492 eV per atom
**Energy relative to the elements, uncorrected**: -0.965 eV/atom
**Space group**: No. 15

a = 6.5554 Å, b = 9.6346 Å, c = 9.6346 Å
α = 71.53°, β = 83.65°, γ = 83.65°
Element x y z (fractional)
1 Rb 0.2500 0.8625 0.1375
2 Rb 0.7500 0.1375 0.8625
3 Rb 0.2500 0.3262 0.6738
4 Rb 0.7500 0.6738 0.3262
5 Nb 0.9322 0.6771 0.8304
6 Nb 0.5678 0.1696 0.3229
7 Nb 0.0678 0.3229 0.1696
8 Nb 0.4322 0.8304 0.6771
9 S 0.6272 0.8065 0.9033
10 S 0.8728 0.0967 0.1935
11 S 0.3728 0.1935 0.0967
12 S 0.1272 0.9033 0.8065
13 S 0.9028 0.4091 0.9374
14 S 0.5972 0.0626 0.5909
15 S 0.0972 0.5909 0.0626
16 S 0.4028 0.9374 0.4091
17 S 0.6664 0.6213 0.6781
18 S 0.8336 0.3219 0.3787
19 S 0.3336 0.3787 0.3219
20 S 0.1664 0.6781 0.6213